VASP calculation (GGA-PBE) on crystalline CsAgSb at its relaxed geometry.

Properties
space group = F-43m, No. 216
VASP energy = -5.4 eV per cell

a = 5.8209 Å, b = 5.8209 Å, c = 5.8209 Å
α = 60.00°, β = 60.00°, γ = 60.00°
Closest atoms and distances in Å follow each position.
Positions (direct):
Ag 0.2500 0.2500 0.2500  4 Cs 3.56
Cs 0.0000 0.0000 0.0000  4 Sb 3.56, 4 Ag 3.56
Sb 0.7500 0.7500 0.7500  4 Cs 3.56